The following is a DFT calculation (PBE) of a geometry-optimized ZnGa2Bi structure.

CIF file:
```
data_ZnGa2Bi
_cell_length_a 4.5206
_cell_length_b 4.5206
_cell_length_c 4.3767
_cell_angle_alpha 90.00
_cell_angle_beta 90.00
_cell_angle_gamma 90.00
_space_group_name_H-M_alt 'P 4/m m m'
_space_group_IT_number 123
_space_group_name_Hall '-P 4 2'
loop_
_atom_site_label
_atom_site_fract_x
_atom_site_fract_y
_atom_site_fract_z
Zn1 0.0000 0.0000 0.0000
Ga1 0.0000 0.5000 0.5000
Bi1 0.5000 0.5000 0.0000
```

## Properties
**Crystal system**: tetragonal
**E above lowest polymorph**: 20 meV/atom
**Total magnetic moment**: 0.00 μB per cell
**V**: 89.44 Å³/f.u.
**Total DFT energy (no corrections)**: -2.67 eV per atom
**Mass density**: 7.7 g/cm3



The following is a DFT calculation (PBE) of a geometry-optimized ZnGaBi2 structure.

CIF file:
```
data_ZnGaBi2
_cell_length_a 4.4400
_cell_length_b 4.4400
_cell_length_c 19.1204
_cell_angle_alpha 90.00
_cell_angle_beta 90.00
_cell_angle_gamma 120.00
_space_group_name_H-M_alt 'R 3 m'
_space_group_IT_number 160
_space_group_name_Hall 'R 3 -2"'
loop_
_atom_site_label
_atom_site_fract_x
_atom_site_fract_y
_atom_site_fract_z
Zn1 0.0000 0.0000 0.0000
Ga1 0.0000 0.0000 0.8336
Bi1 0.0000 0.0000 0.4088
Bi2 0.0000 0.0000 0.5913
```

## Properties
**Crystal system**: trigonal
**Total magnetic moment**: 0.00 μB per cell
**V**: 108.81 Å³/f.u.
**Total DFT energy (no corrections)**: -2.88 eV per atom
**Mass density**: 8.4 g/cm3



The following is a DFT calculation (PBE) of a geometry-optimized ZnGaBi structure.

CIF file:
```
data_ZnGaBi
_cell_length_a 6.6935
_cell_length_b 6.6935
_cell_length_c 6.6935
_cell_angle_alpha 90.00
_cell_angle_beta 90.00
_cell_angle_gamma 90.00
_space_group_name_H-M_alt 'F -4 3 m'
_space_group_IT_number 216
_space_group_name_Hall 'F -4 2 3'
loop_
_atom_site_label
_atom_site_fract_x
_atom_site_fract_y
_atom_site_fract_z
Zn1 0.0000 0.0000 0.0000
Ga1 0.2500 0.2500 0.2500
Bi1 0.2500 0.2500 0.7500
```

## Properties
**Crystal system**: cubic
**E above lowest polymorph**: 0 meV/atom
**Total magnetic moment**: 0.00 μB per cell
**V**: 74.97 Å³/f.u.
**Total DFT energy (no corrections)**: -2.66 eV per atom
**Mass density**: 7.6 g/cm3



The following is a DFT calculation (PBE) of a geometry-optimized ZnGaBi2 structure.

CIF file:
```
data_ZnGaBi2
_cell_length_a 3.4032
_cell_length_b 3.4032
_cell_length_c 33.3625
_cell_angle_alpha 90.00
_cell_angle_beta 90.00
_cell_angle_gamma 120.00
_space_group_name_H-M_alt 'R -3 m'
_space_group_IT_number 166
_space_group_name_Hall '-R 3 2"'
loop_
_atom_site_label
_atom_site_fract_x
_atom_site_fract_y
_atom_site_fract_z
Zn1 0.0000 0.0000 0.0000
Ga1 0.0000 0.0000 0.5000
Bi1 0.0000 0.0000 0.0860
```

## Properties
**Crystal system**: trigonal
**Total magnetic moment**: 0.00 μB per cell
**V**: 111.54 Å³/f.u.
**Total DFT energy (no corrections)**: -2.81 eV per atom
**Mass density**: 8.2 g/cm3



The following is a DFT calculation (PBE) of a geometry-optimized ZnGa2Bi structure.

CIF file:
```
data_ZnGa2Bi
_cell_length_a 4.2124
_cell_length_b 4.2124
_cell_length_c 17.9207
_cell_angle_alpha 90.00
_cell_angle_beta 90.00
_cell_angle_gamma 120.00
_space_group_name_H-M_alt 'R 3 m'
_space_group_IT_number 160
_space_group_name_Hall 'R 3 -2"'
loop_
_atom_site_label
_atom_site_fract_x
_atom_site_fract_y
_atom_site_fract_z
Zn1 0.0000 0.0000 0.0000
Ga1 0.0000 0.0000 0.3924
Ga2 0.0000 0.0000 0.6028
Bi1 0.0000 0.0000 0.8305
```

## Properties
**Crystal system**: trigonal
**E above lowest polymorph**: 4 meV/atom
**Total magnetic moment**: 0.00 μB per cell
**V**: 91.80 Å³/f.u.
**Total DFT energy (no corrections)**: -2.69 eV per atom
**Mass density**: 7.5 g/cm3



The following is a DFT calculation (PBE) of a geometry-optimized ZnGa3Bi structure.

CIF file:
```
data_ZnGa3Bi
_cell_length_a 5.6194
_cell_length_b 5.6194
_cell_length_c 5.6194
_cell_angle_alpha 90.00
_cell_angle_beta 90.00
_cell_angle_gamma 90.00
_space_group_name_H-M_alt 'P m -3 m'
_space_group_IT_number 221
_space_group_name_Hall '-P 4 2 3'
loop_
_atom_site_label
_atom_site_fract_x
_atom_site_fract_y
_atom_site_fract_z
Zn1 0.0000 0.0000 0.0000
Ga1 0.0000 0.5000 0.5000
Bi1 0.5000 0.5000 0.5000
```

## Properties
**Crystal system**: cubic
**E above lowest polymorph**: 500 meV/atom
**Total magnetic moment**: 0.00 μB per cell
**V**: 177.45 Å³/f.u.
**Total DFT energy (no corrections)**: -2.12 eV per atom
**Mass density**: 4.5 g/cm3



How do the records compare in ΔE_f? In the order shown, they have 12.6, 12.9, 6.9, 20.0, 11.0, 69.9 kJ/mol of atoms.